1.
Ac9InCo3 | PBE | relaxed

a b c (Å): 7.310 11.130 12.098
angles (deg): 90.00 96.08 90.00
Space group P2_1/m (No. 11)
Inequivalent atoms, fractional coordinates:
Ac (0.055, 0.250, 0.193) (multiplicity 2)
Ac (0.164, 0.569, 0.373) (multiplicity 4)
Ac (0.192, 0.250, 0.848) (multiplicity 2)
Ac (0.253, 0.548, 0.044) (multiplicity 4)
Ac (0.343, 0.563, 0.696) (multiplicity 4)
Ac (0.356, 0.250, 0.520) (multiplicity 2)
In (0.481, 0.250, 0.093) (multiplicity 2)
Co (0.053, 0.007, 0.826) (multiplicity 4)
Co (0.500, 0.000, 0.500) (multiplicity 2)

Values from the calculation:
mass density	7.9	g/cm3
spin magnetization	0.00	Bohr magnetons per cell
energy of formation	-0.039	eV/atom

2.
Ac4In16Co3 | PBE | relaxed

a b c (Å): 6.803 6.803 12.724
angles (deg): 90.00 90.00 90.00
Space group P4/mmm (No. 123)
Inequivalent atoms, fractional coordinates:
Ac (0.000, 0.500, 0.197) (multiplicity 4)
In (0.000, 0.000, 0.195) (multiplicity 2)
In (0.227, 0.227, 0.000) (multiplicity 4)
In (0.250, 0.250, 0.388) (multiplicity 8)
In (0.500, 0.500, 0.211) (multiplicity 2)
Co (0.000, 0.500, 0.500) (multiplicity 2)
Co (0.500, 0.500, 0.000) (multiplicity 1)

Values from the calculation:
mass density	8.2	g/cm3
spin magnetization	0.00	Bohr magnetons per cell
energy of formation	-0.253	eV/atom

3.
Ac2InCo2 | PBE | relaxed

a b c (Å): 4.071 14.852 4.301
angles (deg): 90.00 90.00 90.00
Space group Cmmm (No. 65)
Inequivalent atoms, fractional coordinates:
Ac (0.000, 0.135, 0.000) (multiplicity 4)
In (0.000, 0.500, 0.500) (multiplicity 2)
Co (0.000, 0.285, 0.500) (multiplicity 4)

Values from the calculation:
mass density	8.8	g/cm3
spin magnetization	2.92	Bohr magnetons per cell
energy of formation	-0.171	eV/atom

- Number 2 is which compound?
  Ac4In16Co3